# GeB2H6

A relaxed structure of GeB2H6 (PBE, Alexandria via LeMat-Bulk).

Computed properties:
- SG: C2/c (15)
- Magnetic moment: 0.0 μB per formula unit
- Energy above the most stable polymorph in this dataset: 0 meV per atom

Cell lengths 8.1329, 8.1329, 3.7531 Å; angles 98.97, 98.97, 69.51 degrees
Closest atoms and distances in Å follow each position.
Element x y z (fractional)
Ge 0.0712 0.9288 0.7500  2 Ge 2.29
Ge 0.9288 0.0712 0.2500  2 Ge 2.29
B 0.2597 0.4047 0.7963  4 H 1.19-1.33
B 0.4047 0.2597 0.2963  4 H 1.19-1.33
B 0.5953 0.7403 0.7037  4 H 1.19-1.33
B 0.7403 0.5953 0.2037  4 H 1.19-1.33
H 0.1601 0.3241 0.7356  1 B 1.19
H 0.2043 0.5639 0.8305  1 B 1.21
H 0.3241 0.1601 0.2356  1 B 1.19
H 0.3812 0.3823 0.0807  2 B 1.32-1.33
H 0.3823 0.3812 0.5807  2 B 1.32-1.33
H 0.4361 0.7957 0.6695  1 B 1.21
H 0.5639 0.2043 0.3305  1 B 1.21
H 0.6177 0.6188 0.4193  2 B 1.32-1.33
H 0.6188 0.6177 0.9193  2 B 1.32-1.33
H 0.6759 0.8399 0.7644  1 B 1.19
H 0.7957 0.4361 0.1695  1 B 1.21
H 0.8399 0.6759 0.2644  1 B 1.19


# Zr2TlSe

A relaxed structure of Zr2TlSe (PBE, Alexandria via LeMat-Bulk).

Computed properties:
- SG: P4/mmm (123)
- Magnetic moment: 0.0 μB per formula unit
- Uncorrected formation energy: -13.4 kcal/mol of atoms
- Energy above the most stable polymorph in this dataset: 0 meV per atom

Cell lengths 3.3006, 3.3006, 7.7570 Å; angles 90.00, 90.00, 90.00 degrees
Closest atoms and distances in Å follow each position.
Element x y z (fractional)
Zr 0.0000 0.0000 0.2149  4 Se 2.87
Zr 0.0000 0.0000 0.7851  4 Se 2.87
Tl 0.5000 0.5000 0.5000  8 Zr 3.22, 4 Tl 3.30
Se 0.5000 0.5000 0.0000  8 Zr 2.87


# CsAsAu4

A relaxed structure of CsAsAu4 (PBE, Alexandria via LeMat-Bulk).

Computed properties:
- SG: C2/m (12)
- E_form: -0.05 eV/atom
- Magnetic moment: 0.0 μB per formula unit

Cell lengths 4.9916, 4.9916, 7.6568 Å; angles 90.07, 90.07, 90.00 degrees
Closest atoms and distances in Å follow each position.
Element x y z (fractional)
Cs 0.0000 0.0000 0.0000  8 Au 3.76
As 0.5000 0.5000 0.5000  6 Au 2.50-2.53
Au 0.0000 0.5000 0.5000  2 As 2.50
Au 0.5000 0.0000 0.5000  2 As 2.50
Au 0.5002 0.5002 0.1701  1 As 2.53, 1 Au 2.60
Au 0.4998 0.4998 0.8299  1 As 2.53, 1 Au 2.60


# Li2Ag5Hg2

A relaxed structure of Li2Ag5Hg2 (PBE, Alexandria via LeMat-Bulk).

Computed properties:
- SG: Ima2 (46)
- E_form: 0.00 eV/atom
- Magnetic moment: 0.0 μB per formula unit

Cell lengths 9.3370, 9.3370, 9.3370 Å; angles 59.28, 134.85, 143.67 degrees
Closest atoms and distances in Å follow each position.
Element x y z (fractional)
Li 0.1322 0.0428 0.1749  1 Li 2.35, 2 Ag 2.58
Li 0.1322 0.4572 0.5894  1 Li 2.35, 2 Ag 2.58
Li 0.8678 0.5428 0.4106  1 Li 2.35, 2 Ag 2.58
Li 0.8678 0.9572 0.8251  1 Li 2.35, 2 Ag 2.58
Ag 0.0047 0.0887 0.5891  2 Li 2.58, 1 Ag 2.81
Ag 0.0047 0.9156 0.4159  2 Li 2.58, 1 Ag 2.81
Ag 0.0076 0.3598 0.8669  4 Ag 2.91-3.10, 4 Hg 2.91-3.06, 3 Li 2.98-3.24
Ag 0.0076 0.6407 0.1477  4 Ag 2.91-3.10, 4 Hg 2.91-3.06, 3 Li 2.98-3.24
Ag 0.0469 0.7509 0.7960  3 Hg 2.86-2.93, 8 Ag 2.92-3.10
Ag 0.4930 0.1407 0.1331  4 Ag 2.91-3.10, 4 Hg 2.91-3.06, 3 Li 2.98-3.24
Ag 0.4930 0.8598 0.8523  4 Ag 2.91-3.10, 4 Hg 2.91-3.06, 3 Li 2.98-3.24
Ag 0.4997 0.4156 0.4109  2 Li 2.58, 1 Ag 2.81
Ag 0.4997 0.5887 0.5841  2 Li 2.58, 1 Ag 2.81
Ag 0.9550 0.2509 0.2040  3 Hg 2.86-2.93, 8 Ag 2.92-3.10
Hg 0.4494 0.7542 0.1952  11 Ag 2.86-3.06
Hg 0.5116 0.0116 0.5000  2 Li 2.73, 4 Ag 2.91-2.92
Hg 0.5116 0.5116 0.0000  2 Li 2.73, 4 Ag 2.91-2.92
Hg 0.5591 0.2542 0.8048  11 Ag 2.86-3.06


# Na2SrSb2

A relaxed structure of Na2SrSb2 (PBE, Alexandria via LeMat-Bulk).

Computed properties:
- SG: P4/mbm (127)
- Magnetic moment: 0.0 μB per formula unit
- Uncorrected formation energy: -11.2 kcal/mol of atoms
- Energy above the most stable polymorph in this dataset: 59 meV per atom

Cell lengths 8.9885, 8.9885, 3.5770 Å; angles 90.00, 90.00, 90.00 degrees
Closest atoms and distances in Å follow each position.
Element x y z (fractional)
Na 0.1135 0.3865 0.0000  1 Na 2.89, 2 Sb 3.13
Na 0.3865 0.8865 0.0000  1 Na 2.89, 2 Sb 3.13
Na 0.6135 0.1135 0.0000  1 Na 2.89, 2 Sb 3.13
Na 0.8865 0.6135 0.0000  1 Na 2.89, 2 Sb 3.13
Sr 0.0000 0.0000 0.0000  2 Sr 3.58, 4 Na 3.62, 8 Sb 3.74
Sr 0.5000 0.5000 0.0000  2 Sr 3.58, 4 Na 3.62, 8 Sb 3.74
Sb 0.1849 0.6849 0.5000  6 Na 3.13-3.29
Sb 0.3151 0.1849 0.5000  6 Na 3.13-3.29
Sb 0.6849 0.8151 0.5000  6 Na 3.13-3.29
Sb 0.8151 0.3151 0.5000  6 Na 3.13-3.29


# CsLa2ZnAu

A relaxed structure of CsLa2ZnAu (PBE, Alexandria via LeMat-Bulk).

Computed properties:
- SG: P4/mmm (123)
- E_form: 0.10 eV/atom
- Magnetic moment: 0.0 μB per formula unit

Cell lengths 5.9729, 5.9729, 5.1598 Å; angles 90.00, 90.00, 90.00 degrees
Closest atoms and distances in Å follow each position.
Element x y z (fractional)
Cs 0.0000 0.0000 0.0000  8 La 3.95, 4 Zn 4.22
La 0.0000 0.5000 0.5000  2 Au 2.99
La 0.5000 0.0000 0.5000  2 Au 2.99
Zn 0.5000 0.5000 0.0000  2 Au 2.58
Au 0.5000 0.5000 0.5000  2 Zn 2.58


# Ba2CoNiW

A relaxed structure of Ba2CoNiW (PBE, Alexandria via LeMat-Bulk).

Computed properties:
- SG: P4/mmm (123)
- E_form: 1.25 eV/atom
- Magnetic moment: 3.9 μB per formula unit

Cell lengths 6.0333, 6.0333, 4.5492 Å; angles 90.00, 90.00, 90.00 degrees
Closest atoms and distances in Å follow each position.
Element x y z (fractional)
Ba 0.0000 0.5000 0.0000  2 Ni 3.02
Ba 0.5000 0.0000 0.0000  2 Ni 3.02
Co 0.0000 0.0000 0.5000  8 Ba 3.78
Ni 0.5000 0.5000 0.0000  2 W 2.27
W 0.5000 0.5000 0.5000  2 Ni 2.27


# TbThHg3

A relaxed structure of TbThHg3 (PBE, Alexandria via LeMat-Bulk).

Computed properties:
- SG: Imma (74)
- E_form: -0.17 eV/atom
- Magnetic moment: 0.0 μB per formula unit
- Energy above the most stable polymorph in this dataset: 125 meV per atom

Cell lengths 8.9873, 8.9873, 8.9873 Å; angles 144.97, 138.29, 55.57 degrees
Closest atoms and distances in Å follow each position.
Element x y z (fractional)
Tb 0.3542 0.1042 0.2500  8 Hg 3.06-3.20
Tb 0.6458 0.8958 0.7500  8 Hg 3.06-3.20
Th 0.0590 0.3090 0.7500  6 Hg 3.11-3.41, 2 Th 3.29
Th 0.9410 0.6910 0.2500  6 Hg 3.11-3.41, 2 Th 3.29
Hg 0.1552 0.9052 0.2500  3 Th 3.11-3.41, 2 Hg 3.16, 3 Tb 3.16-3.20
Hg 0.2580 0.5080 0.7500  5 Hg 3.11-3.21, 2 Tb 3.11, 1 Th 3.17
Hg 0.4533 0.7033 0.7500  3 Tb 3.06-3.13, 3 Hg 3.09-3.11, 2 Th 3.21
Hg 0.5467 0.2967 0.2500  3 Tb 3.06-3.13, 3 Hg 3.09-3.11, 2 Th 3.21
Hg 0.7420 0.4920 0.2500  5 Hg 3.11-3.21, 2 Tb 3.11, 1 Th 3.17
Hg 0.8448 0.0948 0.7500  3 Th 3.11-3.41, 2 Hg 3.16, 3 Tb 3.16-3.20